CaB2Ir2: optimized geometry, GGA-PBEsol.

* Fermi-level density of states: 1.84 states/eV/cell
* space-group type: No. 70
* ΔE_f: -0.664 eV/atom

abc: 5.4678 5.4678 6.1102
angles: 105.09 105.09 114.72
Sites, in units of the cell vectors:
Ir: 0.1207 0.6207 0.2415
Ir: 0.1293 0.1293 0.2585
Ir: 0.3793 0.8793 0.7585
Ir: 0.8707 0.8707 0.7415
Ca: 0.7500 0.2500 0.5000
Ca: 0.5000 0.5000 0.0000
B: 0.8218 0.1782 0.0000
B: 0.1782 0.8218 0.0000
B: 0.0718 0.9282 0.5000
B: 0.4282 0.5718 0.5000


TlFe2Ru: optimized geometry, GGA-PBEsol.

* Fermi-level density of states: 5.19 states/eV/cell
* space-group type: No. 225
* ΔE_f: 0.563 eV/atom

abc: 4.3209 4.3209 4.3209
angles: 60.00 60.00 60.00
Sites, in units of the cell vectors:
Tl: 0.5000 0.5000 0.5000
Fe: 0.2500 0.2500 0.2500
Fe: 0.7500 0.7500 0.7500
Ru: 0.0000 0.0000 0.0000


SbAu: optimized geometry, GGA-PBEsol.

* Fermi-level density of states: 11.17 states/eV/cell
* space-group type: No. 57
* uncorrected energy: -4.20 eV per atom

abc: 6.8255 9.0695 9.0998
angles: 90.00 90.00 90.00
Sites, in units of the cell vectors:
Sb: 0.0000 0.4109 0.2500
Sb: 0.2500 0.1953 0.5354
Sb: 0.2500 0.2151 0.9568
Sb: 0.5000 0.4109 0.2500
Sb: 0.7500 0.1953 0.9646
Sb: 0.7500 0.7849 0.0432
Sb: 0.7500 0.2151 0.5432
Sb: 0.2500 0.7849 0.4568
Sb: 0.0000 0.5891 0.7500
Sb: 0.5000 0.5891 0.7500
Sb: 0.2500 0.8047 0.0354
Sb: 0.7500 0.8047 0.4646
Au: 0.7500 0.5089 0.4983
Au: 0.0000 0.9000 0.2500
Au: 0.7500 0.4911 0.9983
Au: 0.7500 0.1459 0.2565
Au: 0.5000 0.1000 0.7500
Au: 0.2500 0.4911 0.5017
Au: 0.7500 0.8541 0.7565
Au: 0.2500 0.1459 0.2435
Au: 0.2500 0.5089 0.0017
Au: 0.0000 0.1000 0.7500
Au: 0.2500 0.8541 0.7435
Au: 0.5000 0.9000 0.2500


ZnFe4: optimized geometry, GGA-PBEsol.

* Fermi-level density of states: 4.92 states/eV/cell
* space-group type: No. 87
* ΔE_f: 0.099 eV/atom

abc: 3.7630 4.3038 4.3038
angles: 78.98 64.08 64.08
Sites, in units of the cell vectors:
Fe: 0.2005 0.2080 0.3910
Fe: 0.5915 0.6090 0.2080
Fe: 0.7995 0.7920 0.6090
Fe: 0.4085 0.3910 0.7920
Zn: 0.0000 0.0000 0.0000


TaMo: optimized geometry, GGA-PBEsol.

* Fermi-level density of states: 4.41 states/eV/cell
* space-group type: No. 38
* ΔE_f: -0.108 eV/atom

abc: 3.1852 4.5739 7.0995
angles: 108.79 90.00 90.00
Sites, in units of the cell vectors:
Mo: 0.5000 0.4994 0.9989
Mo: 0.0000 0.0031 0.0062
Mo: 0.5000 0.1636 0.3271
Ta: 0.0000 0.6633 0.3266
Ta: 0.5000 0.8372 0.6743
Ta: 0.0000 0.3333 0.6667


La4OsRu: optimized geometry, GGA-PBEsol.

* Fermi-level density of states: 9.02 states/eV/cell
* space-group type: No. 216
* ΔE_f: 1.150 eV/atom

abc: 5.8948 5.8948 5.8948
angles: 60.00 60.00 60.00
Sites, in units of the cell vectors:
Os: 0.7500 0.7500 0.7500
La: 0.3752 0.3752 0.8743
La: 0.3752 0.8743 0.3752
La: 0.3752 0.3752 0.3752
La: 0.8743 0.3752 0.3752
Ru: 0.0000 0.0000 0.0000